# PBE Zn6IrPt, relaxed
# Energy of formation in eV/atom: -0.22
# Energy above the lowest structure with this stoichiometry in kJ/mol of formula units: 33.6
# Total moment in μB/f.u.: 0.00
# ρ in kg/m3: 11096
data_Zn6IrPt
_symmetry_space_group_name_H-M 'P 1'
_symmetry_Int_Tables_number 1
_symmetry_space_group_name_Hall 'P 1'
_cell_length_a 4.7453
_cell_length_b 6.0874
_cell_length_c 6.5465
_cell_angle_alpha 43.97
_cell_angle_beta 62.93
_cell_angle_gamma 73.18
loop_
_atom_site_label
_atom_site_fract_x
_atom_site_fract_y
_atom_site_fract_z
Zn1 0.8786 0.6220 0.6214
Zn2 0.6216 0.8783 0.8783
Zn3 0.7471 0.2529 0.2525
Zn4 0.3784 0.1217 0.1217
Zn5 0.1214 0.3780 0.3786
Zn6 0.2529 0.7471 0.7475
Ir1 0.5000 0.5000 0.5000
Pt1 0.0000 0.0000 0.0000